Record 1
## BeNi3Se (PBE)

Data for crystalline BeNi3Se at its relaxed geometry.

Unit cell a=3.9703 b=3.9703 c=3.9703 alpha=90.00 beta=90.00 gamma=90.00
Sites, in units of the cell vectors:
Be (0.0000, 0.0000, 0.0000)
Se (0.5000, 0.5000, 0.5000)
Ni (0.0000, 0.5000, 0.0000)
Ni (0.0000, 0.0000, 0.5000)
Ni (0.5000, 0.0000, 0.0000)

relative energy among the computed polymorphs	0.000	eV per atom
formation energy without anion corrections	157	kJ/mol of formula units
total magnetic moment	0.000	Bohr magnetons per cell
calculated volume	12.52	Å³ per atom
DOS at the Fermi energy	4.36	states/eV per cell

---

Record 2
## Cr2AgOs (PBE)

Data for crystalline Cr2AgOs at its relaxed geometry.

Unit cell a=3.7380 b=3.8258 c=3.8258 alpha=90.00 beta=90.00 gamma=90.00
Each line ends with the local moment (μB).
Sites, in units of the cell vectors:
Cr (0.0000, 0.0000, 0.0000)  0.26
Cr (0.0000, 0.5000, 0.5000)  0.26
Os (0.5000, 0.5000, 0.0000)  -0.09
Ag (0.5000, 0.0000, 0.5000)  -0.01

total magnetic moment	0.435	Bohr magnetons per cell
ΔH_f (0 K)	0.576	eV/atom
calculated volume	13.68	Å³ per atom
DOS at the Fermi energy	3.68	states/eV per cell

---

> Among the records above, which one has the lowest calculated volume?

BeNi3Se

---

Copy entry 2 word for word.
## Cr2AgOs (PBE)

Data for crystalline Cr2AgOs at its relaxed geometry.

Unit cell a=3.7380 b=3.8258 c=3.8258 alpha=90.00 beta=90.00 gamma=90.00
Each line ends with the local moment (μB).
Sites, in units of the cell vectors:
Cr (0.0000, 0.0000, 0.0000)  0.26
Cr (0.0000, 0.5000, 0.5000)  0.26
Os (0.5000, 0.5000, 0.0000)  -0.09
Ag (0.5000, 0.0000, 0.5000)  -0.01

total magnetic moment	0.435	Bohr magnetons per cell
ΔH_f (0 K)	0.576	eV/atom
calculated volume	13.68	Å³ per atom
DOS at the Fermi energy	3.68	states/eV per cell

---

> total magnetic moment of number 1 (BeNi3Se)?

0.000 Bohr magnetons per cell

---

> total magnetic moment of number 1 (BeNi3Se)?

0.000 Bohr magnetons per cell